Computed, not measured: La5SbTe4 after structural relaxation at the PBE level of DFT.

Calculated total energy in eV/atom: -5.681
Space-group type: I4/mmm (139)
Crystal system: tetragonal

POSCAR file:
```
La5SbTe4
1.0
-2.295 2.295 16.233
2.295 -2.295 16.233
2.295 2.295 -16.233
La Sb Te
5 1 4
direct
0.000 0.000 0.000
0.201 0.201 0.000
0.401 0.401 0.000
0.599 0.599 0.000
0.799 0.799 0.000
0.500 0.500 0.000
0.101 0.101 0.000
0.301 0.301 0.000
0.699 0.699 0.000
0.899 0.899 0.000
```